## CrP2O2 (PBE+U)

Data for an optimized crystal structure of CrP2O2.

Geometry as POSCAR:
```
CrP2O2
1.0
3.593 0.000 0.000
0.000 3.593 0.000
0.000 0.000 5.595
Cr P O
1 2 2
direct
0.000 0.000 0.000
0.000 0.000 0.500
0.500 0.500 0.500
0.000 0.500 0.000
0.500 0.000 0.000
```

## Properties
DOS(E_F)	2.76	states/eV/f.u.
offset from the most stable computed form	179	meV per atom
space-group type	P4/mmm, No. 123
final energy	-5.9232	eV per atom